Entry from the Alexandria database: crystalline Er3Ga7Ni2 at its relaxed geometry (PBE-GGA).

Crystal system = monoclinic
Electronic total energy = -4.47 eV/atom
Formation energy = -0.60 eV/atom

CIF file:
```
data_Er3Ga7Ni2
_space_group_name_H-M_alt 'P 1 2/m 1'
_space_group_IT_number 10
_cell_length_a 4.1520
_cell_length_b 4.1114
_cell_length_c 13.0267
_cell_angle_alpha 90.00
_cell_angle_beta 99.04
_cell_angle_gamma 90.00
loop_
_space_group_symop_operation_xyz
'x,y,z'
'-x,-y,-z'
'-x,y,-z'
'x,-y,z'
loop_
_atom_site_label
_atom_site_fract_x
_atom_site_fract_y
_atom_site_fract_z
Er1 0.0000 0.0000 0.0000
Er2 0.3176 0.5000 0.6388
Ga1 0.0859 0.5000 0.1696
Ga2 0.2225 0.0000 0.4447
Ga3 0.4161 0.0000 0.8295
Ga4 0.5000 0.5000 0.0000
Ni1 0.1291 0.0000 0.2624
```


Entry from the Alexandria database: crystalline Er2Ga4Ni3 at its relaxed geometry (PBE-GGA).

Crystal system = orthorhombic
Electronic total energy = -4.81 eV/atom
Formation energy = -0.52 eV/atom

CIF file:
```
data_Er2Ga4Ni3
_space_group_name_H-M_alt 'F m m m'
_space_group_IT_number 69
_space_group_name_Hall '-F 2 2'
_cell_length_a 5.1882
_cell_length_b 9.1300
_cell_length_c 12.5032
_cell_angle_alpha 90.00
_cell_angle_beta 90.00
_cell_angle_gamma 90.00
loop_
_atom_site_label
_atom_site_fract_x
_atom_site_fract_y
_atom_site_fract_z
Er1 0.0000 0.0000 0.1269
Ga1 0.0000 0.1701 0.3392
Ni1 0.0000 0.0000 0.5000
Ni2 0.2500 0.2500 0.0000
```


Entry from the Alexandria database: crystalline Er12GaNi6 at its relaxed geometry (PBE-GGA).

Crystal system = trigonal
Electronic total energy = -5.11 eV/atom
Formation energy = -0.25 eV/atom

CIF file:
```
data_Er12GaNi6
_space_group_name_H-M_alt 'R -3'
_space_group_IT_number 148
_space_group_name_Hall '-R 3'
_cell_length_a 13.5148
_cell_length_b 13.5148
_cell_length_c 8.6511
_cell_angle_alpha 90.00
_cell_angle_beta 90.00
_cell_angle_gamma 120.00
loop_
_atom_site_label
_atom_site_fract_x
_atom_site_fract_y
_atom_site_fract_z
Er1 0.0386 0.2524 0.4277
Er2 0.0591 0.1799 0.8304
Ga1 0.0000 0.0000 0.5000
Ni1 0.0721 0.5001 0.7852
```


Entry from the Alexandria database: crystalline Er3Ga7Ni4 at its relaxed geometry (PBE-GGA).

Crystal system = monoclinic
Electronic total energy = -4.74 eV/atom
Formation energy = -0.60 eV/atom

CIF file:
```
data_Er3Ga7Ni4
_space_group_name_H-M_alt 'C 1 2/m 1'
_space_group_IT_number 12
_cell_length_a 15.2776
_cell_length_b 4.0830
_cell_length_c 9.1300
_cell_angle_alpha 90.00
_cell_angle_beta 125.26
_cell_angle_gamma 90.00
loop_
_space_group_symop_operation_xyz
'x,y,z'
'-x,-y,-z'
'-x,y,-z'
'x,-y,z'
'x+1/2,y+1/2,z'
'-x+1/2,-y+1/2,-z'
'-x+1/2,y+1/2,-z'
'x+1/2,-y+1/2,z'
loop_
_atom_site_label
_atom_site_fract_x
_atom_site_fract_y
_atom_site_fract_z
Er1 0.0000 0.0000 0.0000
Er2 0.1918 0.5000 0.6989
Ga1 0.0000 0.0000 0.5000
Ga2 0.0032 0.5000 0.2807
Ga3 0.1579 0.0000 0.4220
Ga4 0.1789 0.5000 0.0303
Ni1 0.1209 0.0000 0.8423
Ni2 0.1625 0.5000 0.2829
```


Entry from the Alexandria database: crystalline ErGa6Ni12 at its relaxed geometry (PBE-GGA).

Crystal system = trigonal
Electronic total energy = -5.07 eV/atom
Formation energy = -0.23 eV/atom

CIF file:
```
data_ErGa6Ni12
_space_group_name_H-M_alt 'R -3 m'
_space_group_IT_number 166
_space_group_name_Hall '-R 3 2"'
_cell_length_a 10.5867
_cell_length_b 10.5867
_cell_length_c 7.9948
_cell_angle_alpha 90.00
_cell_angle_beta 90.00
_cell_angle_gamma 120.00
loop_
_atom_site_label
_atom_site_fract_x
_atom_site_fract_y
_atom_site_fract_z
Er1 0.0000 0.0000 0.0000
Ga1 0.0437 0.5218 0.2458
Ni1 0.0000 0.3863 0.5000
Ni2 0.0815 0.1629 0.3072
```


Entry from the Alexandria database: crystalline Er3Ga2Ni3 at its relaxed geometry (PBE-GGA).

Crystal system = orthorhombic
Electronic total energy = -5.21 eV/atom
Formation energy = -0.58 eV/atom

CIF file:
```
data_Er3Ga2Ni3
_space_group_name_H-M_alt 'P n m a'
_space_group_IT_number 62
_cell_length_a 7.2953
_cell_length_b 14.6517
_cell_length_c 5.5597
_cell_angle_alpha 90.00
_cell_angle_beta 90.00
_cell_angle_gamma 90.00
loop_
_space_group_symop_operation_xyz
'x,y,z'
'-x,-y,-z'
'-x+1/2,-y,z+1/2'
'x+1/2,y,-z+1/2'
'x+1/2,-y+1/2,-z+1/2'
'-x+1/2,y+1/2,z+1/2'
'-x,y+1/2,-z'
'x,-y+1/2,z'
loop_
_atom_site_label
_atom_site_fract_x
_atom_site_fract_y
_atom_site_fract_z
Er1 0.0296 0.1047 0.1504
Er2 0.1701 0.2500 0.6076
Ga1 0.1231 0.6039 0.3555
Ni1 0.1744 0.0353 0.5799
Ni2 0.1838 0.7500 0.5991
```


Question: What is the electronic total energy in the fourth record?
Answer: -4.74 eV/atom


Question: formation energy of number 1 (Er3Ga7Ni2)?
Answer: -0.60 eV/atom


Question: The lowest electronic total energy belongs to which entry?
Answer: Er3Ga2Ni3